# 1
# Sc2AlC, optimized geometry, DFT GGA-PBE
data_Sc2AlC
_chemical_formula_sum 'Sc2 Al1 C1'
_cell_length_a 8.5440
_cell_length_b 8.5440
_cell_length_c 8.5440
_cell_angle_alpha 22.19
_cell_angle_beta 22.19
_cell_angle_gamma 22.19
_symmetry_space_group_name_H-M 'P 1'
_symmetry_Int_Tables_number 1
loop_
_symmetry_equiv_pos_as_xyz
'x,y,z'
loop_
_atom_site_label
_atom_site_type_symbol
_atom_site_fract_x
_atom_site_fract_y
_atom_site_fract_z
Al1 Al 0.0000 0.0000 0.0000
C1 C 0.5000 0.5000 0.5000
Sc1 Sc 0.8818 0.8818 0.8818
Sc2 Sc 0.1182 0.1182 0.1182
# crystal system: trigonal
# E: -26.35 eV for the cell shown
# spin magnetization: 0.00 μB per cell

=====

# 2
# ScAl3C3, optimized geometry, DFT GGA-PBE
data_ScAl3C3
_chemical_formula_sum 'Sc2 Al6 C6'
_cell_length_a 5.9077
_cell_length_b 5.9077
_cell_length_c 6.6262
_cell_angle_alpha 63.53
_cell_angle_beta 63.53
_cell_angle_gamma 60.00
_symmetry_space_group_name_H-M 'P 1'
_symmetry_Int_Tables_number 1
loop_
_symmetry_equiv_pos_as_xyz
'x,y,z'
loop_
_atom_site_label
_atom_site_type_symbol
_atom_site_fract_x
_atom_site_fract_y
_atom_site_fract_z
Al1 Al 0.5821 0.1980 0.3447
Al2 Al 0.8751 0.5821 0.3447
Al3 Al 0.8020 0.1249 0.6553
Al4 Al 0.4179 0.8020 0.6553
Al5 Al 0.1249 0.4179 0.6553
Al6 Al 0.1980 0.8751 0.3447
C1 C 0.0829 0.7396 0.7298
C2 C 0.2604 0.5523 0.2702
C3 C 0.9171 0.2604 0.2702
C4 C 0.7396 0.4477 0.7298
C5 C 0.4477 0.0829 0.7298
C6 C 0.5523 0.9171 0.2702
Sc1 Sc 0.3296 0.3296 0.0112
Sc2 Sc 0.6704 0.6704 0.9888
# crystal system: trigonal
# E: -93.40 eV for the cell shown
# spin magnetization: 0.00 μB per cell